Compound: HfCrCu2I
Source: Alexandria via LeMat-Bulk
Functional: GGA-PBE
Structure: optimized geometry

Computed properties:
For the total energy, the calculation gives -4.693 eV/atom. The uncorrected formation energy is 1171 meV per atom.

Lattice parameters (Å, degrees): 4.9864 4.9864 5.4990 90.00 90.00 90.00
Space group P4/mmm (No. 123)
One atom of each set of equivalent atoms:
Hf (0.0000, 0.0000, 0.0000) [1 per cell]
Cr (0.5000, 0.5000, 0.5000) [1 per cell]
Cu (0.0000, 0.5000, 0.0000) [2 per cell]
I (0.0000, 0.0000, 0.5000) [1 per cell]

Compound: RbHfCr2Cu
Source: Alexandria via LeMat-Bulk
Functional: GGA-PBE
Structure: optimized geometry

Computed properties:
For the total energy, the calculation gives -4.548 eV/atom. The calculated formation energy comes out at 2.305 eV per atom.

Lattice parameters (Å, degrees): 4.8527 4.8527 4.8248 90.00 90.00 90.00
Space group P4/mmm (No. 123)
One atom of each set of equivalent atoms:
Rb (0.0000, 0.0000, 0.0000) [1 per cell]
Hf (0.5000, 0.5000, 0.5000) [1 per cell]
Cr (0.0000, 0.5000, 0.0000) [2 per cell]
Cu (0.0000, 0.0000, 0.5000) [1 per cell]

For each record above, in turn, the calculated D(E_F) values are 0.86, 0.91 states/eV/atom.